Compound: Zr2TeOs
Source: Alexandria
Functional: PBE-GGA
Structure: relaxed

Cell and atoms, written as POSCAR:
```
Zr2TeOs
1.0
5.874 0.002 0.000
3.108 4.984 0.000
-4.189 -3.036 2.781
Os Te Zr
1 1 2
Direct
0.501 0.501 0.000
0.281 0.781 0.500
0.996 0.996 0.000
0.723 0.223 0.500
```

Results
Uncorrected formation energy in eV per atom: -0.30
VASP energy in eV/atom: -8.1682
Magnetization in μB per formula unit: 0.00